Record 1
# Na4GaBr5 (PBE, relaxed)
data_Na4GaBr5
_symmetry_space_group_name_H-M 'C 1 2/m 1'
_symmetry_Int_Tables_number 12
_cell_length_a 14.320
_cell_length_b 4.297
_cell_length_c 10.588
_cell_angle_alpha 90.00
_cell_angle_beta 119.60
_cell_angle_gamma 90.00
loop_
_symmetry_equiv_pos_as_xyz
'x,y,z'
'-x,-y,-z'
'-x,y,-z'
'x,-y,z'
'x+1/2,y+1/2,z'
'-x+1/2,-y+1/2,-z'
'-x+1/2,y+1/2,-z'
'x+1/2,-y+1/2,z'
loop_
_atom_site_label
_atom_site_fract_x
_atom_site_fract_y
_atom_site_fract_z
Na1 0.097 0.000 0.399
Na2 0.202 0.500 0.796
Ga1 0.000 0.500 0.000
Br1 0.000 0.500 0.500
Br2 0.106 0.000 0.894
Br3 0.203 0.500 0.308
# - Uncorrected formation energy: -13.5 eV per formula unit
# - Spin magnetization: 0.00 μB per cell


Record 2
# NaGa3Br (PBE, relaxed)
data_NaGa3Br
_symmetry_space_group_name_H-M 'P m -3 m'
_symmetry_Int_Tables_number 221
_symmetry_space_group_name_Hall '-P 4 2 3'
_cell_length_a 5.655
_cell_length_b 5.655
_cell_length_c 5.655
_cell_angle_alpha 90.00
_cell_angle_beta 90.00
_cell_angle_gamma 90.00
loop_
_atom_site_label
_atom_site_fract_x
_atom_site_fract_y
_atom_site_fract_z
Na1 0.000 0.000 0.000
Ga1 0.000 0.500 0.500
Br1 0.500 0.500 0.500
# - Offset from the most stable computed form: 0.00 kJ/mol of atoms
# - Uncorrected formation energy: 1.3 eV per formula unit
# - Spin magnetization: 0.00 μB per cell


Record 3
# NaGa2Br3 (PBE, relaxed)
data_NaGa2Br3
_symmetry_space_group_name_H-M 'F m m 2'
_symmetry_Int_Tables_number 42
_symmetry_space_group_name_Hall 'F 2 -2'
_cell_length_a 6.369
_cell_length_b 18.291
_cell_length_c 6.370
_cell_angle_alpha 90.00
_cell_angle_beta 90.00
_cell_angle_gamma 90.00
loop_
_atom_site_label
_atom_site_fract_x
_atom_site_fract_y
_atom_site_fract_z
Na1 0.000 0.000 0.000
Ga1 0.000 0.164 0.501
Br1 0.000 0.000 0.500
Br2 0.000 0.159 0.998
# - Uncorrected formation energy: -5.4 eV per formula unit
# - Spin magnetization: 0.00 μB per cell


Record 4
# NaGaBr4 (PBE, relaxed)
data_NaGaBr4
_symmetry_space_group_name_H-M 'F d d d'
_symmetry_Int_Tables_number 70
_cell_length_a 7.369
_cell_length_b 17.533
_cell_length_c 17.757
_cell_angle_alpha 90.00
_cell_angle_beta 90.00
_cell_angle_gamma 90.00
loop_
_symmetry_equiv_pos_as_xyz
'x,y,z'
'-x,-y,-z'
'-x+1/4,-y+1/4,z'
'x+1/4,y+1/4,-z'
'x,-y+1/4,-z+1/4'
'-x,y+1/4,z+1/4'
'-x+1/4,y,-z+1/4'
'x+1/4,-y,z+1/4'
'x,y+1/2,z+1/2'
'-x,-y+1/2,-z+1/2'
'-x+1/4,-y+3/4,z+1/2'
'x+1/4,y+3/4,-z+1/2'
'x,-y+3/4,-z+3/4'
'-x,y+3/4,z+3/4'
'-x+1/4,y+1/2,-z+3/4'
'x+1/4,-y+1/2,z+3/4'
'x+1/2,y,z+1/2'
'-x+1/2,-y,-z+1/2'
'-x+3/4,-y+1/4,z+1/2'
'x+3/4,y+1/4,-z+1/2'
'x+1/2,-y+1/4,-z+3/4'
'-x+1/2,y+1/4,z+3/4'
'-x+3/4,y,-z+3/4'
'x+3/4,-y,z+3/4'
'x+1/2,y+1/2,z'
'-x+1/2,-y+1/2,-z'
'-x+3/4,-y+3/4,z'
'x+3/4,y+3/4,-z'
'x+1/2,-y+3/4,-z+1/4'
'-x+1/2,y+3/4,z+1/4'
'-x+3/4,y+1/2,-z+1/4'
'x+3/4,-y+1/2,z+1/4'
loop_
_atom_site_label
_atom_site_fract_x
_atom_site_fract_y
_atom_site_fract_z
Na1 0.125 0.125 0.125
Ga1 0.125 0.125 0.625
Br1 0.069 0.299 0.950
# - Offset from the most stable computed form: 1.85 kJ/mol of atoms
# - Uncorrected formation energy: -6.5 eV per formula unit
# - Spin magnetization: 0.00 μB per cell


Record 5
# Na6GaBr8 (PBE, relaxed)
data_Na6GaBr8
_symmetry_space_group_name_H-M 'P -3'
_symmetry_Int_Tables_number 147
_cell_length_a 10.5981
_cell_length_b 10.5981
_cell_length_c 4.5672
_cell_angle_alpha 90.00
_cell_angle_beta 90.00
_cell_angle_gamma 120.00
loop_
_symmetry_equiv_pos_as_xyz
'x,y,z'
'-x,-y,-z'
'-y,x-y,z'
'y,-x+y,-z'
'-x+y,-x,z'
'x-y,x,-z'
loop_
_atom_site_label
_atom_site_fract_x
_atom_site_fract_y
_atom_site_fract_z
Na1 0.1236 0.4706 0.2440
Ga1 0.0000 0.0000 0.5000
Br1 0.0333 0.7053 0.2588
Br2 0.3333 0.6667 0.7511
# - Uncorrected formation energy: -17.7 eV per formula unit
# - Spin magnetization: 0.00 μB per cell


Record 6
# NaGaBr4 (PBE, relaxed)
data_NaGaBr4
_symmetry_space_group_name_H-M 'P n m a'
_symmetry_Int_Tables_number 62
_cell_length_a 14.109
_cell_length_b 7.664
_cell_length_c 7.815
_cell_angle_alpha 90.00
_cell_angle_beta 90.00
_cell_angle_gamma 90.00
loop_
_symmetry_equiv_pos_as_xyz
'x,y,z'
'-x,-y,-z'
'-x+1/2,-y,z+1/2'
'x+1/2,y,-z+1/2'
'x+1/2,-y+1/2,-z+1/2'
'-x+1/2,y+1/2,z+1/2'
'-x,y+1/2,-z'
'x,-y+1/2,z'
loop_
_atom_site_label
_atom_site_fract_x
_atom_site_fract_y
_atom_site_fract_z
Na1 0.155 0.250 0.051
Ga1 0.100 0.750 0.804
Br1 0.036 0.250 0.368
Br2 0.052 0.750 0.093
Br3 0.199 0.505 0.745
# - Offset from the most stable computed form: 0.00 kJ/mol of atoms
# - Uncorrected formation energy: -6.6 eV per formula unit
# - Spin magnetization: 0.00 μB per cell


Record 7
# Na3GaBr6 (PBE, relaxed)
data_Na3GaBr6
_symmetry_space_group_name_H-M 'P 1 21/c 1'
_symmetry_Int_Tables_number 14
_cell_length_a 7.105
_cell_length_b 7.569
_cell_length_c 12.630
_cell_angle_alpha 90.00
_cell_angle_beta 123.74
_cell_angle_gamma 90.00
loop_
_symmetry_equiv_pos_as_xyz
'x,y,z'
'-x,-y,-z'
'-x,y+1/2,-z+1/2'
'x,-y+1/2,z+1/2'
loop_
_atom_site_label
_atom_site_fract_x
_atom_site_fract_y
_atom_site_fract_z
Na1 0.000 0.000 0.000
Na2 0.207 0.088 0.741
Ga1 0.500 0.000 0.500
Br1 0.145 0.176 0.438
Br2 0.261 0.712 0.425
Br3 0.410 0.052 0.273
# - Offset from the most stable computed form: 4.31 kJ/mol of atoms
# - Uncorrected formation energy: -11.9 eV per formula unit
# - Spin magnetization: 0.00 μB per cell


Record 8
# Na3GaBr6 (PBE, relaxed)
data_Na3GaBr6
_symmetry_space_group_name_H-M 'F m -3 m'
_symmetry_Int_Tables_number 225
_symmetry_space_group_name_Hall '-F 4 2 3'
_cell_length_a 10.794
_cell_length_b 10.794
_cell_length_c 10.794
_cell_angle_alpha 90.00
_cell_angle_beta 90.00
_cell_angle_gamma 90.00
loop_
_atom_site_label
_atom_site_fract_x
_atom_site_fract_y
_atom_site_fract_z
Na1 0.000 0.000 0.000
Na2 0.250 0.250 0.250
Ga1 0.000 0.000 0.500
Br1 0.000 0.000 0.264
# - Offset from the most stable computed form: 15.85 kJ/mol of atoms
# - Uncorrected formation energy: -10.7 eV per formula unit
# - Spin magnetization: 0.00 μB per cell


- uncorrected formation energy of number 8 (Na3GaBr6)?
  -10.7 eV per formula unit